Entry from the Alexandria database: Ti2CrNiF after structural relaxation (PBE+U).

Symmetry   P4/mmm
DFT total energy   -4.78 eV per atom
N(E_F)   6.50 states/eV/cell

a b c (Å): 4.894 3.735 4.894
angles (deg): 90.00 90.00 90.00
Last column: magnetic moment on the atom in μB.
Element x y z (fractional)
F (0.000, 0.500, 0.000)  0.02
Cr (0.000, 0.000, 0.000)  3.16
Ti (0.000, 0.000, 0.500)  -1.17
Ti (0.500, 0.000, 0.000)  -1.41
Ni (0.500, 0.500, 0.500)  0.90